1.
Tm4Ga2SeS (PBE-GGA, optimized geometry); Fermi-level density of states = 0.40 states/eV/atom; theoretical density = 8.36 Mg/m³; ΔE_f (raw) = -9.43 eV/f.u.; space-group type = P2/m, No. 10; E = -5.123 eV per atom
1.0
3.8375 0.0000 0.0000
0.0000 6.6557 0.1173
0.0000 -2.3360 7.1648
Tm Ga Se S
4 2 1 1
Cartesian
1.9188 3.2789 5.5618
0.0000 -0.1250 5.4640
0.0000 4.4447 1.8180
1.9188 1.0408 1.7202
0.0000 2.1598 3.6410
1.9188 -1.1680 3.5824
1.9188 3.3279 0.0586
0.0000 0.0000 0.0000

=====

2.
LaP2Ru (PBE-GGA, optimized geometry); Fermi-level density of states = 0.84 states/eV/atom; theoretical density = 6.30 Mg/m³; space-group type = Immm, No. 71; calculated formation energy = -3.03 eV per formula unit; E = -7.013 eV per atom
1.0
4.9026 -0.0210 0.0035
-0.1956 4.8988 -0.0035
-1.4576 -3.3034 3.3165
Ru P La
1 2 1
Cartesian
2.8993 -0.4428 1.6600
4.3657 4.5240 0.0000
2.6948 2.7926 0.0000
0.3501 2.0171 1.6565

=====

3.
Dy7CCl12 (PBE-GGA, optimized geometry); Fermi-level density of states = 0.54 states/eV/atom; theoretical density = 5.08 Mg/m³; ΔE_f (raw) = -38.13 eV/f.u.; space-group type = R-3, No. 148; E = -5.086 eV per atom
1.0
8.1936 -0.1656 -2.4867
-3.3086 7.4977 -2.4867
-0.1103 -0.1656 8.5619
Cl Dy C
12 7 1
Cartesian
1.4975 6.1332 1.8433
6.4369 2.0604 3.5728
3.2713 6.7339 -1.5485
4.8177 4.3806 0.9258
3.2772 1.0333 1.7452
-1.6623 5.1061 0.0157
-0.0431 2.7859 2.6627
1.5034 0.4326 5.1370
3.1841 3.7442 4.3703
1.5905 3.4223 -0.7818
-0.1098 5.6125 5.1896
4.8844 1.5540 -1.6011
0.7372 0.1660 2.3276
-0.7869 2.3164 0.0609
2.3873 3.5832 1.7943
4.0374 7.0005 1.2609
2.5752 6.4223 4.3613
2.1995 0.7442 -0.7728
5.5615 4.8501 3.5276
0.0000 0.0000 0.0000

=====

4.
AgAsSe2 (PBE-GGA, optimized geometry); Fermi-level density of states = 0.59 states/eV/atom; theoretical density = 6.11 Mg/m³; ΔE_f (raw) = 0.71 eV/f.u.; space-group type = Immm, No. 71; E = -3.439 eV per atom
1.0
6.3077 -0.0082 -0.0052
3.6970 5.1107 0.0052
-4.9599 -2.6343 2.8716
Se Ag As
2 1 1
Cartesian
0.8441 0.4305 0.0000
4.1582 2.1208 0.0000
3.1750 -0.0457 1.4332
1.8697 2.5138 1.4384

=====

5.
Pm2GaFe2Co5 (PBE-GGA, optimized geometry); Fermi-level density of states = 1.02 states/eV/atom; theoretical density = 8.35 Mg/m³; space-group type = P4/mbm, No. 127; calculated formation energy = 0.46 eV per formula unit; E = -6.452 eV per atom
1.0
-1.9846 3.0480 -0.0780
-2.8167 -2.0507 -8.4655
-7.1366 -4.5576 3.4786
Co Ga Fe Pm
10 2 4 4
Cartesian
-6.1658 -1.9586 -4.4958
-4.3202 -0.7133 -2.7947
-5.7721 -1.6017 -0.5691
-5.1478 -1.3678 -7.3106
-6.7901 -2.1925 2.2456
-7.6178 -2.8470 -2.2702
-9.9634 -4.4043 -3.4454
-1.9746 0.8440 -1.6195
-4.5606 -0.7548 1.7003
-2.4007 0.4987 -4.2718
-4.9767 -3.3041 -2.4934
0.0000 0.0000 0.0000
-1.8943 -1.3073 -2.8893
-8.0591 -5.3010 -2.0976
-5.2655 -3.5862 -6.1653
-4.6878 -3.0221 1.1784
-7.1859 -4.7942 -4.5120
-3.2536 -2.2504 -5.1572
-2.7675 -1.8141 -0.4749
-6.6998 -4.3579 0.1703

=====

6.
LaScCdSn (PBE-GGA, optimized geometry); Fermi-level density of states = 0.59 states/eV/atom; theoretical density = 6.53 Mg/m³; space-group type = F-43m, No. 216; calculated formation energy = -1.89 eV per formula unit; E = -4.517 eV per atom
1.0
5.3051 0.0000 0.0000
2.6526 4.5944 0.0000
2.6526 1.5315 4.3316
Sc Sn Cd La
1 1 1 1
Cartesian
5.3051 3.0629 2.1658
2.6526 1.5315 1.0829
7.9577 4.5944 3.2487
0.0000 0.0000 0.0000

=====

7.
CdGe2Au6 (PBE-GGA, optimized geometry); Fermi-level density of states = 0.43 states/eV/atom; theoretical density = 13.77 Mg/m³; space-group type = C2/m, No. 12; calculated formation energy = 0.01 eV per formula unit; E = -3.311 eV per atom
1.0
-3.2136 -1.2160 3.3110
4.5392 -2.1214 0.1883
4.1516 4.7471 5.7729
Au Ge Cd
6 2 1
Cartesian
3.0003 1.9706 7.0740
1.8071 -2.3108 4.3436
2.4770 -0.5608 2.1982
3.6702 3.7205 4.9286
1.2841 0.5144 4.8735
4.1932 0.8954 4.3987
-0.3811 -0.6182 2.8414
5.8584 2.0279 6.4308
2.0758 2.3735 2.8864

=====

8.
Nb2PbW2 (PBE-GGA, optimized geometry); Fermi-level density of states = 0.81 states/eV/atom; theoretical density = 12.92 Mg/m³; space-group type = P4/mbm, No. 127; calculated formation energy = 3.02 eV per formula unit; E = -9.346 eV per atom
1.0
7.7880 0.0000 0.0000
0.0000 7.7880 0.0000
0.0000 0.0000 3.2250
Nb W Pb
4 4 2
Cartesian
1.4618 5.3558 1.6125
5.3558 6.3262 1.6125
6.3262 2.4322 1.6125
2.4322 1.4618 1.6125
0.8456 3.0484 0.0000
4.7396 0.8456 0.0000
3.0484 6.9425 0.0000
6.9425 4.7396 0.0000
0.0000 0.0000 0.0000
3.8940 3.8940 0.0000

=====

9.
TeAu2N2 (PBE-GGA, optimized geometry); Fermi-level density of states = 0.74 states/eV/atom; theoretical density = 10.40 Mg/m³; ΔE_f (raw) = 8.45 eV/f.u.; space-group type = P4/mbm, No. 127; E = -3.579 eV per atom
1.0
7.6887 0.0000 0.0000
0.0000 7.6887 0.0000
0.0000 0.0000 2.9677
Te N Au
2 4 4
Cartesian
3.8444 3.8444 0.0000
0.0000 0.0000 0.0000
5.7202 5.8129 1.4839
1.9685 1.8759 1.4839
5.8129 1.9685 1.4839
1.8759 5.7202 1.4839
6.7379 4.7952 0.0000
2.8935 6.7379 0.0000
0.9509 2.8935 0.0000
4.7952 0.9509 0.0000

=====

10.
FeIr4Rh4 (PBE-GGA, optimized geometry); Fermi-level density of states = 1.11 states/eV/atom; theoretical density = 16.21 Mg/m³; space-group type = I4/mmm, No. 139; calculated formation energy = -0.35 eV per formula unit; E = -8.185 eV per atom
1.0
-2.6610 -1.6587 2.1993
1.9171 0.1246 5.7485
-3.8916 4.2654 1.8433
Ir Rh Fe
4 4 1
Cartesian
-2.0906 2.6520 4.4731
-4.0012 4.0138 3.1885
-2.5449 0.0793 5.3181
-0.6343 -1.2826 6.6027
-2.3514 2.1353 7.1029
-0.1461 1.2242 5.7491
-4.4895 1.5071 4.0421
-2.2842 0.5960 2.6883
-0.3720 -0.7671 3.9739

=====

11.
Y4Cu2Pd (PBE-GGA, optimized geometry); Fermi-level density of states = 0.98 states/eV/atom; theoretical density = 5.83 Mg/m³; space-group type = R-3m, No. 166; calculated formation energy = -2.09 eV per formula unit; E = -5.905 eV per atom
1.0
-3.3852 -2.1264 2.8751
-1.2729 -4.6965 -0.7554
4.1959 -4.6395 5.7256
Cu Pd Y
2 1 4
Cartesian
-0.1054 -2.8698 1.9702
-0.3568 -8.5926 5.8751
0.0000 0.0000 0.0000
1.8957 -6.6063 5.7795
-2.4801 -7.7190 4.0213
-2.3578 -4.8561 2.0658
2.0179 -3.7434 3.8240

=====

12.
NaPuIrO4 (PBE-GGA, optimized geometry); Fermi-level density of states = 1.05 states/eV/atom; theoretical density = 7.99 Mg/m³; ΔE_f (raw) = -12.22 eV/f.u.; space-group type = Imma, No. 74; E = -8.081 eV per atom
1.0
-3.2873 3.9630 -2.1866
-0.7472 -6.4281 -3.3713
-3.0403 0.7015 5.8422
O Ir Na Pu
8 2 2 2
Cartesian
-2.1593 -4.9171 -2.4105
-2.5522 -2.4690 -0.6379
-3.6546 -3.1144 -3.4051
-3.7534 -2.1918 1.6704
-4.5227 0.7053 0.9221
-4.9156 3.1534 2.6947
-3.3215 0.4282 -1.3861
-3.4202 1.3507 3.6894
-1.8938 -2.8633 1.2354
-3.5374 -0.8818 0.1421
-3.6558 -0.9144 3.8388
-3.4191 -0.8493 -3.5545
-1.6436 1.9815 -1.0933
-3.1638 2.3322 1.8278

=====

13.
Y5InIr2 (PBE-GGA, optimized geometry); Fermi-level density of states = 0.96 states/eV/atom; theoretical density = 7.56 Mg/m³; space-group type = I4/mcm, No. 140; calculated formation energy = -5.29 eV per formula unit; E = -7.259 eV per atom
1.0
7.0538 0.0000 -3.3298
-1.5718 6.8764 -3.3298
-0.1775 -0.2227 8.7602
Y Ir In
10 4 2
Cartesian
-0.7693 3.4591 4.5797
6.0737 3.1946 -2.4791
2.7410 3.4382 -3.3298
2.8291 1.9594 -0.2160
1.2837 0.0209 5.6465
4.0207 6.6328 -3.5458
2.4753 4.6943 2.3167
0.0000 0.0000 0.0000
4.5283 1.2561 3.3834
0.7761 5.3976 -1.2828
0.4131 2.4824 -1.6649
5.0689 4.3940 -4.9946
4.2889 0.9558 -2.5906
1.1931 5.9206 -4.0690
4.0227 5.0460 -0.6146
1.2817 1.6078 2.7152

=====

14.
CuAsP2 (PBE-GGA, optimized geometry); Fermi-level density of states = 0.75 states/eV/atom; theoretical density = 5.47 Mg/m³; space-group type = F-43m, No. 216; calculated formation energy = 2.39 eV per formula unit; E = -4.294 eV per atom
1.0
4.4154 0.0000 0.0000
2.2077 3.8239 0.0000
2.2077 1.2746 3.6052
As P Cu
1 2 1
Cartesian
4.4154 2.5493 1.8026
2.2077 1.2746 0.9013
0.0000 0.0000 0.0000
6.6232 3.8239 2.7039

=====

15.
Tb2Dy7Tm (PBE-GGA, optimized geometry); Fermi-level density of states = 1.20 states/eV/atom; theoretical density = 8.67 Mg/m³; space-group type = P-1, No. 2; calculated formation energy = 0.16 eV per formula unit; E = -4.579 eV per atom
1.0
5.4572 -2.1830 1.6714
-4.2313 7.8310 -5.7386
2.8649 -1.8012 10.6378
Dy Tb Tm
7 2 1
Cartesian
5.8062 -1.6187 8.7028
-1.7154 5.4655 -2.1321
3.1251 0.4574 1.5732
-1.5445 5.7493 1.3888
5.6353 -1.9025 5.1819
0.9657 3.3893 4.9975
0.6130 2.8240 -2.0336
0.7916 3.1014 1.4774
3.2993 0.7454 5.0933
0.0000 0.0000 0.0000

=====

16.
Pm8C3Br3Cl (PBE-GGA, optimized geometry); Fermi-level density of states = 0.40 states/eV/atom; theoretical density = 6.66 Mg/m³; ΔE_f (raw) = -13.13 eV/f.u.; space-group type = C2/m, No. 12; E = -5.711 eV per atom
1.0
7.7567 -0.0006 0.0003
-3.8789 6.7275 -0.0273
0.0007 -4.4602 7.0486
Br Pm Cl C
3 8 1 3
Cartesian
-1.9395 3.3638 -0.0137
1.9389 3.3635 -0.0135
0.0000 0.0000 0.0000
3.8792 2.0346 2.1011
-0.0002 2.2492 2.1925
5.6330 -1.0060 2.1145
3.8787 0.0175 4.8291
2.1237 -1.0065 2.1152
1.7548 3.2732 4.9064
-0.0007 0.2321 4.9206
-1.7545 3.2727 4.9072
0.0003 -2.2301 3.5243
1.9392 1.1333 3.5108
3.8787 -2.2304 3.5245
-1.9391 1.1337 3.5106

=====

17.
Pm4Sm3Er8 (PBE-GGA, optimized geometry); Fermi-level density of states = 2.03 states/eV/atom; theoretical density = 7.85 Mg/m³; space-group type = C2/m, No. 12; calculated formation energy = 5.56 eV per formula unit; E = -4.273 eV per atom
1.0
6.7433 -0.0866 -0.1244
-3.2468 8.6180 1.1504
-3.2468 -1.9129 8.4814
Pm Er Sm
4 8 3
Cartesian
3.3716 -0.0433 -0.0622
-1.6234 -0.9564 4.2407
0.0000 0.0000 0.0000
-1.6234 4.3090 0.5752
1.8211 1.7490 2.5124
0.1248 5.8840 2.9613
1.9444 4.8229 6.9280
-3.2468 4.8143 3.7983
-1.6948 1.7956 2.5794
-3.2468 1.8908 5.8335
0.1248 0.7345 6.5461
-1.5715 4.8695 6.9949
1.7482 4.2657 0.5130
0.1248 3.3093 4.7537
1.7482 -0.9997 4.1785

=====

18.
Gd2SbF (PBE-GGA, optimized geometry); Fermi-level density of states = 0.64 states/eV/atom; theoretical density = 7.85 Mg/m³; ΔE_f (raw) = -6.46 eV/f.u.; space-group type = R-3m, No. 166; E = -10.154 eV per atom
1.0
4.1300 0.0000 0.0000
2.0650 3.5767 0.0000
2.0650 1.1922 6.5225
F Gd Sb
1 2 1
Cartesian
0.0000 0.0000 0.0000
6.1950 3.5767 5.1516
2.0650 1.1922 1.3709
4.1300 2.3845 3.2612

=====

19.
TlSbTe2O (PBE-GGA, optimized geometry); Fermi-level density of states = 0.79 states/eV/atom; theoretical density = 7.95 Mg/m³; ΔE_f (raw) = 0.14 eV/f.u.; space-group type = P4/mmm, No. 123; E = -3.519 eV per atom
1.0
-4.5547 -1.7912 1.3642
2.2469 -3.8130 2.4953
0.1371 2.7031 4.0070
Te Sb O Tl
2 1 1 1
Cartesian
-2.2773 -0.8956 0.6821
1.1234 -1.9065 1.2477
0.0686 1.3515 2.0035
0.0000 0.0000 0.0000
-1.0853 -1.4505 3.9333

=====

20.
ZnCrRe2 (PBE-GGA, optimized geometry); Fermi-level density of states = 0.55 states/eV/atom; theoretical density = 12.88 Mg/m³; space-group type = I-42d, No. 122; calculated formation energy = 3.10 eV per formula unit; E = -8.174 eV per atom
1.0
7.0590 0.0000 0.0000
0.0000 7.0590 0.0000
3.5295 3.5295 2.5344
Zn Re Cr
2 4 2
Cartesian
7.0590 3.5295 1.2672
0.0000 0.0000 0.0000
5.2943 5.6855 1.9008
8.8238 8.4326 1.9008
4.9031 1.7648 0.6336
2.1560 5.2943 0.6336
3.5295 7.0590 1.2672
3.5295 3.5295 0.0000